No. 1
Compound: KRe2Au
Source: Alexandria via LeMat-Bulk
Functional: PBE-GGA
Structure: relaxed

Computed properties:
* DFT formation energy: 533.2 kJ/mol of formula units

a = 3.522 Å, b = 3.522 Å, c = 7.666 Å
α = 90.00°, β = 90.00°, γ = 90.00°
Space group P4/mmm (No. 123)
Asymmetric unit:
K (0.000, 0.000, 0.000) [1 per cell]
Re (0.500, 0.500, 0.351) [2 per cell]
Au (0.000, 0.000, 0.500) [1 per cell]

=====

No. 2
Compound: K2ReAu
Source: Alexandria via LeMat-Bulk
Functional: PBE-GGA
Structure: relaxed

Computed properties:
* DFT formation energy: 449.1 kJ/mol of formula units

a = 11.661 Å, b = 11.661 Å, c = 5.204 Å
α = 90.00°, β = 90.00°, γ = 90.00°
Space group I-42d (No. 122)
Asymmetric unit:
K (0.100, 0.750, 0.125) [8 per cell]
Re (0.000, 0.000, 0.500) [4 per cell]
Au (0.000, 0.000, 0.000) [4 per cell]

=====

No. 3
Compound: K2ReAu
Source: Alexandria via LeMat-Bulk
Functional: PBE-GGA
Structure: relaxed

Computed properties:
* DFT formation energy: 457.1 kJ/mol of formula units

a = 4.143 Å, b = 4.143 Å, c = 5.547 Å
α = 90.00°, β = 90.00°, γ = 90.00°
Space group P4/mmm (No. 123)
Asymmetric unit:
K (0.000, 0.500, 0.000) [2 per cell]
Re (0.000, 0.000, 0.500) [1 per cell]
Au (0.500, 0.500, 0.500) [1 per cell]

=====

No. 4
Compound: K2ReAu
Source: Alexandria via LeMat-Bulk
Functional: PBE-GGA
Structure: relaxed

Computed properties:
* DFT formation energy: 293.5 kJ/mol of formula units

a = 2.831 Å, b = 4.365 Å, c = 10.142 Å
α = 90.00°, β = 90.00°, γ = 90.00°
Space group Pmm2 (No. 25)
Asymmetric unit:
K (0.000, 0.000, 0.000) [1 per cell]
K (0.500, 0.500, 0.423) [1 per cell]
Re (0.000, 0.000, 0.681) [1 per cell]
Au (0.500, 0.500, 0.753) [1 per cell]

=====

No. 5
Compound: KReAu3
Source: Alexandria via LeMat-Bulk
Functional: PBE-GGA
Structure: relaxed

Computed properties:
* DFT formation energy: 300.5 kJ/mol of formula units

a = 5.132 Å, b = 5.132 Å, c = 5.132 Å
α = 90.00°, β = 90.00°, γ = 90.00°
Space group Pm-3m (No. 221)
Asymmetric unit:
K (0.000, 0.000, 0.000) [1 per cell]
Re (0.500, 0.500, 0.500) [1 per cell]
Au (0.000, 0.500, 0.500) [3 per cell]

=====

No. 6
Compound: K2ReAu
Source: Alexandria via LeMat-Bulk
Functional: PBE-GGA
Structure: relaxed

Computed properties:
* DFT formation energy: 325.9 kJ/mol of formula units

a = 9.219 Å, b = 2.879 Å, c = 9.799 Å
α = 90.00°, β = 93.23°, γ = 90.00°
Space group Cm (No. 8)
Asymmetric unit:
K (0.000, 0.000, 0.000) [2 per cell]
K (0.227, 0.000, 0.562) [2 per cell]
Re (0.250, 0.500, 0.249) [2 per cell]
Au (0.486, 0.000, 0.319) [2 per cell]

=====

No. 7
Compound: KRe2Au
Source: Alexandria via LeMat-Bulk
Functional: PBE-GGA
Structure: relaxed

Computed properties:
* DFT formation energy: 556.9 kJ/mol of formula units

a = 4.467 Å, b = 4.467 Å, c = 19.969 Å
α = 90.00°, β = 90.00°, γ = 90.00°
Space group I-42d (No. 122)
Asymmetric unit:
K (0.000, 0.000, 0.000) [4 per cell]
Re (0.086, 0.250, 0.625) [8 per cell]
Au (0.000, 0.000, 0.500) [4 per cell]

=====

No. 8
Compound: KRe2Au
Source: Alexandria via LeMat-Bulk
Functional: PBE-GGA
Structure: relaxed

Computed properties:
* DFT formation energy: 234.0 kJ/mol of formula units

a = 9.742 Å, b = 5.530 Å, c = 7.986 Å
α = 90.00°, β = 122.03°, γ = 90.00°
Space group Cm (No. 8)
Asymmetric unit:
K (0.000, 0.000, 0.000) [2 per cell]
K (0.193, 0.500, 0.056) [2 per cell]
Re (0.153, 0.232, 0.496) [4 per cell]
Re (0.373, 0.000, 0.490) [2 per cell]
Re (0.449, 0.000, 0.251) [2 per cell]
Au (0.273, 0.000, 0.860) [2 per cell]
Au (0.423, 0.500, 0.563) [2 per cell]

=====

No. 9
Compound: KRe2Au
Source: Alexandria via LeMat-Bulk
Functional: PBE-GGA
Structure: relaxed

Computed properties:
* DFT formation energy: 407.8 kJ/mol of formula units

a = 3.065 Å, b = 4.456 Å, c = 10.812 Å
α = 90.00°, β = 90.00°, γ = 90.00°
Space group Cmmm (No. 65)
Asymmetric unit:
K (0.000, 0.000, 0.000) [2 per cell]
Re (0.000, 0.500, 0.278) [4 per cell]
Au (0.000, 0.000, 0.500) [2 per cell]

=====

No. 10
Compound: KRe2Au
Source: Alexandria via LeMat-Bulk
Functional: PBE-GGA
Structure: relaxed

Computed properties:
* DFT formation energy: 221.8 kJ/mol of formula units

a = 5.5241 Å, b = 5.5241 Å, c = 6.6759 Å
α = 90.00°, β = 90.00°, γ = 120.00°
Space group P3m1 (No. 156)
Asymmetric unit:
K (0.0000, 0.0000, 0.0000) [1 per cell]
K (0.3333, 0.6667, 0.8960) [1 per cell]
Re (0.3054, 0.1527, 0.4890) [3 per cell]
Re (0.6667, 0.3333, 0.7440) [1 per cell]
Au (0.3333, 0.6667, 0.3977) [1 per cell]
Au (0.6667, 0.3333, 0.1482) [1 per cell]

=====

No. 11
Compound: K2ReAu
Source: Alexandria via LeMat-Bulk
Functional: PBE-GGA
Structure: relaxed

Computed properties:
* DFT formation energy: 377.9 kJ/mol of formula units

a = 2.9758 Å, b = 2.9758 Å, c = 34.1585 Å
α = 90.00°, β = 90.00°, γ = 120.00°
Space group R-3m (No. 166, hexagonal axes)
Asymmetric unit:
K (0.0000, 0.0000, 0.2505) [6 per cell]
Re (0.0000, 0.0000, 0.5000) [3 per cell]
Au (0.0000, 0.0000, 0.0000) [3 per cell]

=====

No. 12
Compound: K2ReAu
Source: Alexandria via LeMat-Bulk
Functional: PBE-GGA
Structure: relaxed

Computed properties:
* DFT formation energy: 339.8 kJ/mol of formula units

a = 3.646 Å, b = 3.646 Å, c = 10.111 Å
α = 90.00°, β = 90.00°, γ = 90.00°
Space group P4mm (No. 99)
Asymmetric unit:
K (0.000, 0.000, 0.000) [1 per cell]
K (0.500, 0.500, 0.421) [1 per cell]
Re (0.000, 0.000, 0.682) [1 per cell]
Au (0.500, 0.500, 0.749) [1 per cell]

=====

No. 13
Compound: KRe3Au
Source: Alexandria via LeMat-Bulk
Functional: PBE-GGA
Structure: relaxed

Computed properties:
* DFT formation energy: 1826.5 kJ/mol of formula units

a = 4.507 Å, b = 4.507 Å, c = 4.507 Å
α = 90.00°, β = 90.00°, γ = 90.00°
Space group Pm-3m (No. 221)
Asymmetric unit:
K (0.000, 0.000, 0.000) [1 per cell]
Re (0.000, 0.000, 0.500) [3 per cell]
Au (0.500, 0.500, 0.500) [1 per cell]

=====

No. 14
Compound: KRe2Au
Source: Alexandria via LeMat-Bulk
Functional: PBE-GGA
Structure: relaxed

Computed properties:
* DFT formation energy: 411.1 kJ/mol of formula units

a = 2.8121 Å, b = 2.8121 Å, c = 32.3281 Å
α = 90.00°, β = 90.00°, γ = 120.00°
Space group R-3m (No. 166, hexagonal axes)
Asymmetric unit:
K (0.0000, 0.0000, 0.0000) [3 per cell]
Re (0.0000, 0.0000, 0.2394) [6 per cell]
Au (0.0000, 0.0000, 0.5000) [3 per cell]

=====

No. 15
Compound: K2ReAu
Source: Alexandria via LeMat-Bulk
Functional: PBE-GGA
Structure: relaxed

Computed properties:
* DFT formation energy: 423.9 kJ/mol of formula units

a = 3.0431 Å, b = 3.0431 Å, c = 36.3837 Å
α = 90.00°, β = 90.00°, γ = 120.00°
Space group R3m (No. 160, hexagonal axes)
Asymmetric unit:
K (0.0000, 0.0000, 0.0000) [3 per cell]
K (0.0000, 0.0000, 0.2196) [3 per cell]
Re (0.0000, 0.0000, 0.7468) [3 per cell]
Au (0.0000, 0.0000, 0.4742) [3 per cell]